# 1
Below is an optimized crystal structure of Y2Mg7Sc2, with properties calculated at the PBE level.

Properties
Raw total energy ... -3.286 eV per atom
Formation enthalpy at 0 K ... 0.056 eV/atom
Theoretical density ... 2586 kg/m³

Lattice parameters (Å, degrees): 8.5492 8.5492 8.5492 144.89 64.63 127.62
Fractional positions:
Y (0.2176, 0.0000, 0.2176)
Y (0.7824, 0.0000, 0.7824)
Mg (0.0682, 0.6874, 0.3808)
Mg (0.2257, 0.2257, 0.0000)
Mg (0.3066, 0.6874, 0.6192)
Mg (0.3654, 0.5143, 0.8510)
Mg (0.6633, 0.5143, 0.1490)
Mg (0.6749, 0.3061, 0.3688)
Mg (0.9373, 0.3061, 0.6312)
Sc (0.5126, 0.0126, 0.5000)
Sc (0.8148, 0.8148, 0.0000)

=====

# 2
Below is an optimized crystal structure of Np3InNi8, with properties calculated at the PBE level.

Properties
Raw total energy ... -7.474 eV per atom
Formation enthalpy at 0 K ... -0.156 eV/atom
Theoretical density ... 12277 kg/m³

Lattice parameters (Å, degrees): 8.6208 8.6208 8.6208 33.65 33.65 33.65
Fractional positions:
Np (0.0000, 0.0000, 0.0000)
Np (0.1235, 0.1235, 0.1235)
Np (0.4920, 0.4920, 0.4920)
In (0.6192, 0.6192, 0.6192)
Ni (0.0554, 0.5585, 0.5585)
Ni (0.0590, 0.0590, 0.5621)
Ni (0.0590, 0.5621, 0.0590)
Ni (0.3086, 0.3086, 0.3086)
Ni (0.5585, 0.0554, 0.5585)
Ni (0.5585, 0.5585, 0.0554)
Ni (0.5621, 0.0590, 0.0590)
Ni (0.8088, 0.8088, 0.8088)

=====

# 3
Below is an optimized crystal structure of BiPtNO2, with properties calculated at the PBE level.

Properties
Raw total energy ... -5.435 eV per atom
Raw formation energy ... 19.1 kJ per mole of atoms
Theoretical density ... 11270 kg/m³

Lattice parameters (Å, degrees): 4.1034 4.1034 3.9385 90.00 90.00 90.00
Fractional positions:
Bi (0.0000, 0.0000, 0.0000)
Pt (0.5000, 0.5000, 0.5000)
N (0.5000, 0.5000, 0.0000)
O (0.0000, 0.5000, 0.5000)
O (0.5000, 0.0000, 0.5000)

=====

# 4
Below is an optimized crystal structure of SrHoZnCu, with properties calculated at the PBE level.

Properties
Raw total energy ... -2.997 eV per atom
Formation enthalpy at 0 K ... -0.089 eV/atom
Theoretical density ... 6501 kg/m³

Lattice parameters (Å, degrees): 5.1652 5.1652 5.1652 60.00 60.00 60.00
Fractional positions:
Sr (0.0000, 0.0000, 0.0000)
Ho (0.5000, 0.5000, 0.5000)
Zn (0.7500, 0.7500, 0.7500)
Cu (0.2500, 0.2500, 0.2500)

=====

# 5
Below is an optimized crystal structure of Li2CaRh, with properties calculated at the PBE level.

Properties
Raw total energy ... -3.492 eV per atom
Distance to the lowest polymorph of the same formula ... 0.00 eV/f.u.
Formation enthalpy at 0 K ... -0.197 eV/atom
Theoretical density ... 3434 kg/m³

Lattice parameters (Å, degrees): 4.4219 5.5585 6.1719 90.00 90.00 90.00
Fractional positions:
Li (0.2500, 0.0170, 0.1064)
Li (0.2500, 0.4830, 0.1064)
Li (0.7500, 0.5170, 0.8936)
Li (0.7500, 0.9830, 0.8936)
Ca (0.2500, 0.2500, 0.5813)
Ca (0.7500, 0.7500, 0.4187)
Rh (0.2500, 0.7500, 0.7464)
Rh (0.7500, 0.2500, 0.2536)

=====

# 6
Below is an optimized crystal structure of Na2Pt2Br, with properties calculated at the PBE level.

Properties
Raw total energy ... -3.365 eV per atom
Raw formation energy ... -8.3 kJ per mole of atoms
Distance to the lowest polymorph of the same formula ... 0.00 eV/f.u.
Theoretical density ... 6747 kg/m³

Lattice parameters (Å, degrees): 5.5608 5.5608 5.5608 116.65 116.65 95.91
Fractional positions:
Na (0.2500, 0.7500, 0.5000)
Na (0.7500, 0.2500, 0.5000)
Pt (0.1636, 0.1636, 0.0000)
Pt (0.8364, 0.8364, 0.0000)
Br (0.5000, 0.5000, 0.0000)

=====

# 7
Below is an optimized crystal structure of LuHfRePt, with properties calculated at the PBE level.

Properties
Raw total energy ... -8.874 eV per atom
Formation enthalpy at 0 K ... -0.634 eV/atom
Theoretical density ... 16516 kg/m³

Lattice parameters (Å, degrees): 4.7098 4.7098 4.7098 60.00 60.00 60.00
Fractional positions:
Lu (0.0000, 0.0000, 0.0000)
Hf (0.5000, 0.5000, 0.5000)
Re (0.2500, 0.2500, 0.2500)
Pt (0.7500, 0.7500, 0.7500)

=====

# 8
Below is an optimized crystal structure of CuPd8Au2, with properties calculated at the PBE level.

Properties
Raw total energy ... -4.572 eV per atom
Distance to the lowest polymorph of the same formula ... 0.38 eV/f.u.
Formation enthalpy at 0 K ... 0.173 eV/atom
Theoretical density ... 11801 kg/m³

Lattice parameters (Å, degrees): 7.3385 7.3385 5.1977 110.61 110.61 117.05
Fractional positions:
Cu (0.0000, 0.0000, 0.0000)
Pd (0.0995, 0.3168, 0.5913)
Pd (0.2189, 0.7811, 0.0000)
Pd (0.3168, 0.0995, 0.5913)
Pd (0.3951, 0.3951, 0.1631)
Pd (0.6049, 0.6049, 0.8369)
Pd (0.6832, 0.9005, 0.4087)
Pd (0.7811, 0.2189, 0.0000)
Pd (0.9005, 0.6832, 0.4087)
Au (0.3053, 0.6947, 0.5000)
Au (0.6947, 0.3053, 0.5000)

=====

# 9
Below is an optimized crystal structure of Ca3Al4Zn2, with properties calculated at the PBE level.

Properties
Raw total energy ... -2.905 eV per atom
Formation enthalpy at 0 K ... -0.292 eV/atom
Theoretical density ... 2981 kg/m³

Lattice parameters (Å, degrees): 5.8497 5.8497 8.7765 111.26 111.26 46.44
Fractional positions:
Ca (0.0000, 0.0000, 0.0000)
Ca (0.3206, 0.3206, 0.3498)
Ca (0.6794, 0.6794, 0.6502)
Al (0.0192, 0.0192, 0.3574)
Al (0.2600, 0.2600, 0.9223)
Al (0.7400, 0.7400, 0.0777)
Al (0.9808, 0.9808, 0.6426)
Zn (0.4106, 0.4106, 0.7395)
Zn (0.5894, 0.5894, 0.2605)

=====

# 10
Below is an optimized crystal structure of TbTeCl, with properties calculated at the PBE level.

Properties
Raw total energy ... -4.899 eV per atom
Raw formation energy ... -163.3 kJ per mole of atoms
Theoretical density ... 5571 kg/m³

Lattice parameters (Å, degrees): 11.5370 11.5370 11.5370 159.29 159.29 29.45
Fractional positions:
Tb (0.1510, 0.1510, 0.0000)
Tb (0.8490, 0.8490, 0.0000)
Te (0.2986, 0.2986, 0.0000)
Te (0.7014, 0.7014, 0.0000)
Cl (0.5695, 0.0695, 0.5000)
Cl (0.9305, 0.4305, 0.5000)

=====

# 11
Below is an optimized crystal structure of ZrSc2N3, with properties calculated at the PBE level.

Properties
Raw total energy ... -9.169 eV per atom
Raw formation energy ... -141.9 kJ per mole of atoms
Distance to the lowest polymorph of the same formula ... 2.48 eV/f.u.
Theoretical density ... 4901 kg/m³

Lattice parameters (Å, degrees): 2.9940 9.2364 5.4679 90.00 90.00 90.00
Fractional positions:
Zr (0.0000, 0.0873, 0.0000)
Zr (0.0000, 0.9127, 0.5000)
Sc (0.0000, 0.2448, 0.4803)
Sc (0.0000, 0.7552, 0.9803)
Sc (0.5000, 0.4330, 0.9800)
Sc (0.5000, 0.5670, 0.4800)
N (0.0000, 0.4378, 0.6882)
N (0.0000, 0.5622, 0.1882)
N (0.5000, 0.0896, 0.6697)
N (0.5000, 0.2373, 0.1818)
N (0.5000, 0.7627, 0.6818)
N (0.5000, 0.9104, 0.1697)

=====

# 12
Below is an optimized crystal structure of Pu2Si2Au, with properties calculated at the PBE level.

Properties
Raw total energy ... -9.016 eV per atom
Raw formation energy ... -44.2 kJ per mole of atoms
Distance to the lowest polymorph of the same formula ... 0.00 eV/f.u.
Theoretical density ... 12069 kg/m³

Lattice parameters (Å, degrees): 6.7465 6.7465 4.4808 90.00 90.00 90.00
Fractional positions:
Pu (0.1677, 0.3323, 0.0000)
Pu (0.3323, 0.8323, 0.0000)
Pu (0.6677, 0.1677, 0.0000)
Pu (0.8323, 0.6677, 0.0000)
Si (0.1291, 0.6291, 0.5000)
Si (0.3709, 0.1291, 0.5000)
Si (0.6291, 0.8709, 0.5000)
Si (0.8709, 0.3709, 0.5000)
Au (0.0000, 0.0000, 0.5000)
Au (0.5000, 0.5000, 0.5000)

=====

Question: Which of these has the highest raw total energy?
Answer: Ca3Al4Zn2

=====

Copy entry 2 word for word.
Below is an optimized crystal structure of Np3InNi8, with properties calculated at the PBE level.

Properties
Raw total energy ... -7.474 eV per atom
Formation enthalpy at 0 K ... -0.156 eV/atom
Theoretical density ... 12277 kg/m³

Lattice parameters (Å, degrees): 8.6208 8.6208 8.6208 33.65 33.65 33.65
Fractional positions:
Np (0.0000, 0.0000, 0.0000)
Np (0.1235, 0.1235, 0.1235)
Np (0.4920, 0.4920, 0.4920)
In (0.6192, 0.6192, 0.6192)
Ni (0.0554, 0.5585, 0.5585)
Ni (0.0590, 0.0590, 0.5621)
Ni (0.0590, 0.5621, 0.0590)
Ni (0.3086, 0.3086, 0.3086)
Ni (0.5585, 0.0554, 0.5585)
Ni (0.5585, 0.5585, 0.0554)
Ni (0.5621, 0.0590, 0.0590)
Ni (0.8088, 0.8088, 0.8088)

=====

Question: Number 9 is which compound?
Answer: Ca3Al4Zn2

=====

Question: The highest raw total energy belongs to which entry?
Answer: Ca3Al4Zn2